Entry from the Alexandria database: a relaxed structure of CaAc14Ho (GGA-PBE).

## Properties
Formation enthalpy at 0 K   0.512 kcal/mol of atoms
Magnetization   0.00 μB/atom
Fermi-level density of states   1.595 states/eV/atom
Crystal system   orthorhombic

Cell lengths 7.924, 7.924, 11.194 Å; angles 90.00, 90.00, 90.00 degrees
Fractional coordinates of all 16 atoms:
Ac 0.874 0.624 0.000
Ac 0.374 0.124 0.500
Ac 0.876 0.626 0.500
Ac 0.621 0.379 0.752
Ac 0.128 0.378 0.753
Ac 0.128 0.378 0.247
Ac 0.875 0.125 0.500
Ac 0.621 0.379 0.248
Ac 0.128 0.872 0.753
Ac 0.622 0.872 0.247
Ac 0.376 0.126 0.000
Ac 0.128 0.872 0.247
Ac 0.375 0.625 0.500
Ac 0.622 0.872 0.753
Ca 0.875 0.125 0.000
Ho 0.375 0.625 0.000


Entry from the Alexandria database: a relaxed structure of Pu2Si3SnPt4 (GGA-PBE).

## Properties
Magnetization   1.09 μB/atom
Fermi-level density of states   2.961 states/eV/atom
Formation energy (no corrections)   -778 meV/atom
Crystal system   tetragonal

Cell lengths 4.292, 4.292, 10.232 Å; angles 90.00, 90.00, 90.00 degrees
Fractional coordinates of all 10 atoms:
Pt 0.500 0.500 0.000
Pt 0.500 0.000 0.646
Pt 0.000 0.000 0.000
Pt 0.000 0.500 0.354
Sn 0.500 0.500 0.500
Pu 0.500 0.000 0.243
Pu 0.000 0.500 0.757
Si 0.000 0.000 0.500
Si 0.500 0.000 0.877
Si 0.000 0.500 0.123


Entry from the Alexandria database: a relaxed structure of CaTcB3 (GGA-PBE).

## Properties
Formation enthalpy at 0 K   70.739 kcal/mol of atoms
Magnetization   0.00 μB/atom
Fermi-level density of states   3.096 states/eV/atom
Crystal system   cubic

Cell lengths 4.126, 4.126, 4.126 Å; angles 90.00, 90.00, 90.00 degrees
Fractional coordinates of all 5 atoms:
B 0.500 0.000 0.000
B 0.000 0.000 0.500
B 0.000 0.500 0.000
Tc 0.500 0.500 0.500
Ca 0.000 0.000 0.000


Entry from the Alexandria database: a relaxed structure of RbPuHgSe3 (GGA-PBE).

## Properties
Magnetization   0.83 μB/atom
Fermi-level density of states   1.795 states/eV/atom
Formation energy (no corrections)   -1008 meV/atom
Crystal system   monoclinic

Cell lengths 4.349, 9.103, 10.395 Å; angles 108.03, 90.00, 90.00 degrees
Fractional coordinates of all 12 atoms:
Rb 0.750 0.780 0.754
Rb 0.250 0.220 0.246
Se 0.750 0.890 0.126
Se 0.250 0.110 0.874
Se 0.750 0.232 0.545
Se 0.250 0.768 0.455
Se 0.250 0.533 0.853
Se 0.750 0.467 0.147
Pu 0.250 0.674 0.140
Pu 0.750 0.326 0.860
Hg 0.750 0.908 0.385
Hg 0.250 0.092 0.615